1.
An optimized crystal structure of Cu2NiSn2. Source: Alexandria via LeMat-Bulk, functional GGA-PBE.

Cell lengths 6.5831, 6.5831, 3.9091 Å; angles 90.00, 90.00, 90.00 degrees
Closest atoms and distances in Å follow each position.
Space group P4/mbm (No. 127)
Inequivalent atoms, fractional coordinates:
Cu: 0.1329 0.3671 0.0000 (multiplicity 4)  1 Cu 2.47, 2 Ni 2.57, 2 Sn 2.64
Ni: 0.0000 0.0000 0.0000 (multiplicity 2)  4 Cu 2.57
Sn: 0.1764 0.6764 0.5000 (multiplicity 4)  6 Cu 2.64-2.84

Properties
The density of states at the Fermi level is 4.01 states/eV/cell. The value obtained for the formation enthalpy at 0 K is 0.1504 eV/atom. The raw total energy comes out at -4.25 eV per atom. The calculation puts the total magnetization at 0.00 μB per formula unit.

2.
An optimized crystal structure of PbCI3. Source: Alexandria via LeMat-Bulk, functional GGA-PBE.

Cell lengths 5.2039, 5.2039, 5.2039 Å; angles 90.00, 90.00, 90.00 degrees
Closest atoms and distances in Å follow each position.
Space group Pm-3m (No. 221)
Inequivalent atoms, fractional coordinates:
Pb: 0.0000 0.0000 0.0000 (multiplicity 1)  12 I 3.68
C: 0.5000 0.5000 0.5000 (multiplicity 1)  6 I 2.60
I: 0.0000 0.5000 0.5000 (multiplicity 3)  2 C 2.60

Properties
The uncorrected formation energy is 827 meV per atom. The density of states at the Fermi level is 1.83 states/eV/cell. The raw total energy comes out at -2.69 eV per atom. The calculation puts the total magnetization at 0.00 μB per formula unit.

3.
An optimized crystal structure of CoGeMo3. Source: Alexandria via LeMat-Bulk, functional GGA-PBE.

Cell lengths 4.5483, 4.5483, 4.5483 Å; angles 90.00, 90.00, 90.00 degrees
Closest atoms and distances in Å follow each position.
Space group Pm-3m (No. 221)
Inequivalent atoms, fractional coordinates:
Co: 0.0000 0.0000 0.0000 (multiplicity 1)  12 Mo 3.22
Ge: 0.5000 0.5000 0.5000 (multiplicity 1)  6 Mo 2.27
Mo: 0.0000 0.5000 0.5000 (multiplicity 3)  2 Ge 2.27

Properties
The density of states at the Fermi level is 7.83 states/eV/cell. The value obtained for the formation enthalpy at 0 K is 1.7071 eV/atom. The raw total energy comes out at -7.14 eV per atom. The calculation puts the total magnetization at 0.00 μB per formula unit.

4.
An optimized crystal structure of NdTl2HgSe4. Source: Alexandria via LeMat-Bulk, functional GGA-PBE.

Cell lengths 7.4896, 4.2417, 7.8470 Å; angles 90.00, 110.43, 90.00 degrees
Closest atoms and distances in Å follow each position.
Space group P2/m (No. 10)
Inequivalent atoms, fractional coordinates:
Nd: 0.0000 0.0000 0.0000 (multiplicity 1)  6 Se 2.93-3.04
Tl: 0.0000 0.5000 0.5000 (multiplicity 1)  6 Se 3.12-3.23
Tl: 0.5000 0.0000 0.5000 (multiplicity 1)  6 Se 3.17-3.28
Hg: 0.5000 0.5000 0.0000 (multiplicity 1)  6 Se 2.88-3.19
Se: 0.2267 0.5000 0.2337 (multiplicity 2)  2 Nd 2.93, 3 Tl 3.12-3.17, 1 Hg 3.19
Se: 0.2688 0.0000 0.7859 (multiplicity 2)  2 Hg 2.88, 1 Nd 3.04

Properties
The uncorrected formation energy is -719 meV per atom. The density of states at the Fermi level is 3.74 states/eV/cell. The raw total energy comes out at -3.69 eV per atom. The calculation puts the total magnetization at 0.00 μB per formula unit.

Q: Which value of raw total energy does entry 1 give?
A: -4.25 eV per atom

Q: Which value of total magnetization does entry 4 give?
A: 0.00 μB per formula unit